{
  "formula": "Zr2VF",
  "functional": "PBE+U",
  "state": "optimized geometry",
  "m_tot_mub_per_atom": 0.775,
  "e_above_lowest_polymorph_mev_per_atom": 0,
  "volume_a3_per_cell": 151.5,
  "space_group": "I-42d, No. 122",
  "lattice_angstrom": [[6.934, 0.000, 0.000], [0.000, 6.934, 0.000], [3.467, 3.467, 3.151]],
  "species": ["Zr", "Zr", "Zr", "Zr", "F", "F", "V", "V"],
  "fractional_positions": [[0.202, 0.625, 0.250], [0.375, 0.452, 0.750], [0.875, 0.798, 0.750], [0.548, 0.125, 0.250], [0.500, 0.500, 0.000], [0.250, 0.750, 0.500], [0.750, 0.250, 0.500], [0.000, 0.000, 0.000]]
}